#1
VASP calculation (PBE) on a relaxed structure of Ca3Ag2Hg3.

a b c (Å): 4.6933 6.1094 15.9155
angles (deg): 90.00 90.00 112.59
Last column: nearest neighbours and their distance in Å.
Sites, in units of the cell vectors:
Ca: 0.9221 0.8442 0.3938  3 Ag 3.29-3.34, 7 Hg 3.32-3.59
Ca: 0.0779 0.1558 0.8938  3 Ag 3.29-3.34, 7 Hg 3.32-3.59
Ca: 0.9221 0.8442 0.1062  3 Ag 3.29-3.34, 7 Hg 3.32-3.59
Ca: 0.0779 0.1558 0.6062  3 Ag 3.29-3.34, 7 Hg 3.32-3.59
Ca: 0.6517 0.3034 0.2500  5 Hg 3.13-3.44, 4 Ag 3.34
Ca: 0.3483 0.6966 0.7500  5 Hg 3.13-3.44, 4 Ag 3.34
Ag: 0.7820 0.5641 0.8920  4 Hg 2.81-3.04
Ag: 0.2180 0.4359 0.3920  4 Hg 2.81-3.04
Ag: 0.7820 0.5641 0.6080  4 Hg 2.81-3.04
Ag: 0.2180 0.4359 0.1080  4 Hg 2.81-3.04
Hg: 0.6170 0.2339 0.4572  3 Ag 2.81-3.04, 1 Hg 2.97
Hg: 0.3830 0.7661 0.9572  3 Ag 2.81-3.04, 1 Hg 2.97
Hg: 0.6170 0.2339 0.0428  3 Ag 2.81-3.04, 1 Hg 2.97
Hg: 0.3830 0.7661 0.5428  3 Ag 2.81-3.04, 1 Hg 2.97
Hg: 0.3742 0.7485 0.2500  2 Ag 2.87, 1 Ca 3.13
Hg: 0.6258 0.2515 0.7500  2 Ag 2.87, 1 Ca 3.13

#2
VASP calculation (PBE) on a relaxed structure of Ca3Ag2Hg3.

a b c (Å): 4.0514 7.7328 7.7328
angles (deg): 120.00 90.00 90.00
Last column: nearest neighbours and their distance in Å.
Sites, in units of the cell vectors:
Ca: 0.5000 0.3849 0.3849  4 Ag 3.14, 6 Hg 3.31-3.48
Ca: 0.5000 0.6151 0.0000  4 Ag 3.14, 6 Hg 3.31-3.48
Ca: 0.5000 0.0000 0.6151  4 Ag 3.14, 6 Hg 3.31-3.48
Ag: 0.0000 0.3333 0.6667  3 Hg 2.96, 6 Ca 3.14
Ag: 0.0000 0.6667 0.3333  3 Hg 2.96, 6 Ca 3.14
Hg: 0.0000 0.7509 0.7509  2 Ag 2.96, 4 Ca 3.31
Hg: 0.0000 0.2491 0.0000  2 Ag 2.96, 4 Ca 3.31
Hg: 0.0000 0.0000 0.2491  2 Ag 2.96, 4 Ca 3.31

Q: Which of them is the most stable? A: #1.

#1
VASP calculation (PBE) on a relaxed structure of CaAg3Hg.

a b c (Å): 4.1537 4.1626 7.2952
angles (deg): 73.38 73.43 89.94
Last column: nearest neighbours and their distance in Å.
Sites, in units of the cell vectors:
Ca: 0.3906 0.1941 0.9242  4 Ag 3.18-3.19, 4 Hg 3.32
Ag: 0.6564 0.9601 0.3921  6 Ag 2.81-2.94, 2 Hg 2.89
Ag: 0.1562 0.4595 0.3930  6 Ag 2.81-2.94, 2 Hg 2.89
Ag: 0.7994 0.6028 0.1079  1 Hg 2.76, 4 Ag 2.81-2.82
Hg: 0.0052 0.8087 0.6939  5 Ag 2.76-2.89

#2
VASP calculation (PBE) on a relaxed structure of CaAg3Hg.

a b c (Å): 5.6244 5.6244 5.6244
angles (deg): 90.00 90.00 90.00
Last column: nearest neighbours and their distance in Å.
Sites, in units of the cell vectors:
Ca: 0.0000 0.0000 0.0000  6 Ag 2.81
Hg: 0.5000 0.5000 0.5000  12 Ag 3.98
Ag: 0.0000 0.5000 0.0000  2 Ca 2.81
Ag: 0.0000 0.0000 0.5000  2 Ca 2.81
Ag: 0.5000 0.0000 0.0000  2 Ca 2.81

#3
VASP calculation (PBE) on a relaxed structure of CaAg3Hg.

a b c (Å): 5.2330 5.2330 5.2330
angles (deg): 90.00 90.00 90.00
Last column: nearest neighbours and their distance in Å.
Sites, in units of the cell vectors:
Ca: 0.5000 0.5000 0.5000  12 Ag 3.70
Hg: 0.0000 0.0000 0.0000  6 Ag 2.62
Ag: 0.0000 0.5000 0.0000  2 Hg 2.62
Ag: 0.0000 0.0000 0.5000  2 Hg 2.62
Ag: 0.5000 0.0000 0.0000  2 Hg 2.62

Q: Which of them is the most stable? A: #1.

#1
VASP calculation (PBE) on a relaxed structure of Ca3Ag4Hg4.

a b c (Å): 4.2879 8.0961 9.1290
angles (deg): 116.32 103.58 90.00
Last column: nearest neighbours and their distance in Å.
Sites, in units of the cell vectors:
Ca: 0.1284 0.1284 0.2568  6 Ag 3.16-3.27, 4 Hg 3.28
Ca: 0.8716 0.8716 0.7432  6 Ag 3.16-3.27, 4 Hg 3.28
Ca: 0.0000 0.5000 0.0000  6 Ag 3.40-3.54, 8 Hg 3.74
Ag: 0.2245 0.7245 0.4489  6 Hg 2.86-2.99, 2 Ca 3.16
Ag: 0.7755 0.2755 0.5511  6 Hg 2.86-2.99, 2 Ca 3.16
Ag: 0.5000 0.8258 0.0000  2 Hg 2.78, 1 Ag 2.82
Ag: 0.5000 0.1742 0.0000  2 Hg 2.78, 1 Ag 2.82
Hg: 0.3358 0.1342 0.6717  4 Ag 2.78-2.99
Hg: 0.6642 0.4625 0.3283  4 Ag 2.78-2.99
Hg: 0.6642 0.8658 0.3283  4 Ag 2.78-2.99
Hg: 0.3358 0.5375 0.6717  4 Ag 2.78-2.99

#2
VASP calculation (PBE) on a relaxed structure of Ca3Ag4Hg4.

a b c (Å): 3.6193 4.8421 15.4801
angles (deg): 81.24 83.32 89.92
Last column: nearest neighbours and their distance in Å.
Sites, in units of the cell vectors:
Ca: 0.1413 0.6424 0.7177  6 Hg 3.32-3.36, 6 Ag 3.34-3.44, 2 Ca 3.62
Ca: 0.8587 0.3576 0.2823  6 Hg 3.32-3.36, 6 Ag 3.34-3.44, 2 Ca 3.62
Ca: 0.0000 0.0000 0.0000  8 Hg 3.35-3.37, 4 Ag 3.38, 2 Ca 3.62
Ag: 0.5940 0.0942 0.8122  3 Hg 2.79-2.81
Ag: 0.2614 0.2638 0.4745  4 Hg 2.87-2.95, 4 Ag 3.10-3.13
Ag: 0.7387 0.7362 0.5255  4 Hg 2.87-2.95, 4 Ag 3.10-3.13
Ag: 0.4060 0.9058 0.1878  3 Hg 2.79-2.81
Hg: 0.5481 0.5496 0.9039  2 Ag 2.79, 1 Hg 2.92
Hg: 0.4520 0.4504 0.0961  2 Ag 2.79, 1 Hg 2.92
Hg: 0.3144 0.8134 0.3726  5 Ag 2.81-2.95
Hg: 0.6856 0.1866 0.6274  5 Ag 2.81-2.95

Q: Which of them is the most stable? A: #2.

#1
VASP calculation (PBE) on a relaxed structure of Ca2Ag2Hg3.

a b c (Å): 4.6190 5.7234 7.5284
angles (deg): 108.10 90.00 113.80
Last column: nearest neighbours and their distance in Å.
Sites, in units of the cell vectors:
Ca: 0.8610 0.7220 0.2349  4 Ag 3.12-3.23, 3 Hg 3.32-3.35
Ca: 0.1390 0.2780 0.7651  4 Ag 3.12-3.23, 3 Hg 3.32-3.35
Ag: 0.8511 0.7021 0.8015  5 Hg 2.90-3.01, 4 Ca 3.12-3.23
Ag: 0.1489 0.2979 0.1985  5 Hg 2.90-3.01, 4 Ca 3.12-3.23
Hg: 0.5000 0.0000 0.0000  4 Ag 2.90, 2 Hg 3.13
Hg: 0.6229 0.2459 0.4410  3 Ag 2.94-3.01, 2 Hg 3.00-3.13
Hg: 0.3771 0.7541 0.5590  3 Ag 2.94-3.01, 2 Hg 3.00-3.13

#2
VASP calculation (PBE) on a relaxed structure of Ca2Ag2Hg3.

a b c (Å): 3.5679 4.8869 10.3733
angles (deg): 103.29 90.00 90.00
Last column: nearest neighbours and their distance in Å.
Sites, in units of the cell vectors:
Ca: 0.5000 0.1421 0.2829  4 Ag 3.32-3.35, 8 Hg 3.33-3.47, 2 Ca 3.57
Ca: 0.5000 0.8579 0.7171  4 Ag 3.32-3.35, 8 Hg 3.33-3.47, 2 Ca 3.57
Ag: 0.0000 0.4299 0.8565  3 Hg 2.81-2.84, 1 Ag 2.90
Ag: 0.0000 0.5701 0.1435  3 Hg 2.81-2.84, 1 Ag 2.90
Hg: 0.0000 0.2881 0.5778  1 Ag 2.81, 2 Hg 2.90-2.91
Hg: 0.0000 0.0000 0.0000  4 Ag 2.84
Hg: 0.0000 0.7119 0.4222  1 Ag 2.81, 2 Hg 2.90-2.91

Q: Which of them is the most stable? A: #1.

#1
VASP calculation (PBE) on a relaxed structure of CaHoAgHg.

a b c (Å): 3.6796 3.6796 7.5011
angles (deg): 90.00 90.00 90.00
Last column: nearest neighbours and their distance in Å.
Sites, in units of the cell vectors:
Ca: 0.5000 0.5000 0.1114  4 Ag 3.27, 4 Hg 3.29, 1 Ho 3.65
Ho: 0.5000 0.5000 0.5985  4 Ag 3.10, 4 Hg 3.18
Ag: 0.0000 0.0000 0.3750  4 Ho 3.10, 4 Ca 3.27
Hg: 0.0000 0.0000 0.8430  4 Ho 3.18, 4 Ca 3.29, 1 Ag 3.51

#2
VASP calculation (PBE) on a relaxed structure of CaHoAgHg.

a b c (Å): 5.2157 5.2157 5.2157
angles (deg): 60.00 60.00 60.00
Last column: nearest neighbours and their distance in Å.
Sites, in units of the cell vectors:
Ca: 0.0000 0.0000 0.0000  4 Hg 3.19, 4 Ag 3.19
Hg: 0.7500 0.7500 0.7500  4 Ho 3.19, 4 Ca 3.19
Ag: 0.2500 0.2500 0.2500  4 Ho 3.19, 4 Ca 3.19
Ho: 0.5000 0.5000 0.5000  4 Hg 3.19, 4 Ag 3.19

Q: Which of them is the most stable? A: #1.

#1
VASP calculation (PBE) on a relaxed structure of CaHoAg6.

a b c (Å): 4.3510 5.2747 8.2153
angles (deg): 79.33 74.64 65.64
Last column: nearest neighbours and their distance in Å.
Sites, in units of the cell vectors:
Ca: 0.0000 0.5000 0.5000  12 Ag 3.07-3.14
Ho: 0.0000 0.0000 0.0000  12 Ag 3.04-3.08
Ag: 0.2454 0.8797 0.6295  8 Ag 3.01-3.15, 1 Ho 3.04, 3 Ca 3.07
Ag: 0.5011 0.2439 0.7540  8 Ag 3.01-3.15, 2 Ho 3.08, 2 Ca 3.14
Ag: 0.2499 0.3774 0.1228  3 Ho 3.05-3.06, 8 Ag 3.05-3.11, 1 Ca 3.10
Ag: 0.4989 0.7561 0.2460  8 Ag 3.01-3.15, 2 Ho 3.08, 2 Ca 3.14
Ag: 0.7546 0.1203 0.3705  8 Ag 3.01-3.15, 1 Ho 3.04, 3 Ca 3.07
Ag: 0.7501 0.6226 0.8772  3 Ho 3.05-3.06, 8 Ag 3.05-3.11, 1 Ca 3.10

#2
VASP calculation (PBE) on a relaxed structure of CaHoAg6.

a b c (Å): 5.4905 5.4905 5.4905
angles (deg): 90.00 90.00 90.00
Last column: nearest neighbours and their distance in Å.
Sites, in units of the cell vectors:
Ca: 0.5000 0.5000 0.5000  12 Ag 3.07
Ho: 0.0000 0.0000 0.0000  12 Ag 3.07
Ag: 0.5000 0.7510 0.0000  2 Ag 2.73-2.76
Ag: 0.7510 0.0000 0.5000  2 Ag 2.73-2.76
Ag: 0.0000 0.5000 0.2490  2 Ag 2.73-2.76
Ag: 0.2490 0.0000 0.5000  2 Ag 2.73-2.76
Ag: 0.5000 0.2490 0.0000  2 Ag 2.73-2.76
Ag: 0.0000 0.5000 0.7510  2 Ag 2.73-2.76

Q: Which of them is the most stable? A: #1.

#1
VASP calculation (PBE) on a relaxed structure of Ca2HoAg3.

a b c (Å): 3.6773 3.6773 11.0773
angles (deg): 90.00 90.00 90.00
Last column: nearest neighbours and their distance in Å.
Sites, in units of the cell vectors:
Ca: 0.5000 0.5000 0.8298  8 Ag 3.21-3.27
Ca: 0.5000 0.5000 0.1702  8 Ag 3.21-3.27
Ho: 0.5000 0.5000 0.5000  8 Ag 3.09
Ag: 0.0000 0.0000 0.0000  8 Ca 3.21
Ag: 0.0000 0.0000 0.6506  4 Ho 3.09, 4 Ca 3.27, 1 Ag 3.34
Ag: 0.0000 0.0000 0.3494  4 Ho 3.09, 4 Ca 3.27, 1 Ag 3.34

#2
VASP calculation (PBE) on a relaxed structure of Ca2HoAg3.

a b c (Å): 5.1801 5.1801 6.3793
angles (deg): 90.00 90.00 120.00
Last column: nearest neighbours and their distance in Å.
Sites, in units of the cell vectors:
Ca: 0.6667 0.3333 0.3379  8 Ag 3.06-3.32
Ca: 0.3333 0.6667 0.6621  8 Ag 3.06-3.32
Ho: 0.0000 0.0000 0.0000  8 Ag 3.12-3.19
Ag: 0.0000 0.0000 0.5000  6 Ca 3.16, 2 Ho 3.19
Ag: 0.6667 0.3333 0.8582  5 Ca 3.06-3.32, 3 Ho 3.12
Ag: 0.3333 0.6667 0.1418  5 Ca 3.06-3.32, 3 Ho 3.12

Q: Which of them is the most stable? A: #1.

#1
VASP calculation (PBE) on a relaxed structure of Ca2HoAg.

a b c (Å): 3.7444 3.7444 10.7625
angles (deg): 79.98 79.98 60.00
Last column: nearest neighbours and their distance in Å.
Sites, in units of the cell vectors:
Ca: 0.0711 0.0711 0.7866  3 Ag 3.13
Ca: 0.2621 0.2621 0.2137  3 Ag 3.12
Ho: 0.5003 0.5003 0.4990  6 Ca 3.70-3.72, 6 Ho 3.74
Ag: 0.6664 0.6664 0.0007  6 Ca 3.12-3.13

#2
VASP calculation (PBE) on a relaxed structure of Ca2HoAg.

a b c (Å): 3.6363 3.6363 11.6360
angles (deg): 81.01 81.01 60.00
Last column: nearest neighbours and their distance in Å.
Sites, in units of the cell vectors:
Ca: 0.1006 0.1006 0.6983  3 Ag 3.09, 1 Ho 3.45
Ca: 0.8994 0.8994 0.3017  3 Ag 3.09, 1 Ho 3.45
Ho: 0.0000 0.0000 0.0000  2 Ca 3.45, 6 Ho 3.64
Ag: 0.5000 0.5000 0.5000  6 Ca 3.09

#3
VASP calculation (PBE) on a relaxed structure of Ca2HoAg.

a b c (Å): 3.5669 3.5669 9.6702
angles (deg): 90.00 90.00 90.00
Last column: nearest neighbours and their distance in Å.
Sites, in units of the cell vectors:
Ca: 0.0000 0.0000 0.7947  4 Ag 3.21, 4 Ca 3.57
Ca: 0.0000 0.0000 0.2053  4 Ag 3.21, 4 Ca 3.57
Ho: 0.5000 0.5000 0.5000  4 Ho 3.57, 8 Ca 3.81
Ag: 0.5000 0.5000 0.0000  8 Ca 3.21, 4 Ag 3.57

Q: Which of them is the most stable? A: #3.

#1
VASP calculation (PBE) on a relaxed structure of CaHoMgAg.

a b c (Å): 3.7176 3.7176 7.7075
angles (deg): 90.00 90.00 90.00
Last column: nearest neighbours and their distance in Å.
Sites, in units of the cell vectors:
Ca: 0.0000 0.0000 0.8737  4 Ag 3.28, 4 Mg 3.41, 1 Ho 3.56
Ho: 0.0000 0.0000 0.3351  4 Ag 3.08, 4 Mg 3.29
Mg: 0.5000 0.5000 0.5915  4 Ho 3.29, 4 Ca 3.41, 1 Ag 3.58
Ag: 0.5000 0.5000 0.1276  4 Ho 3.08, 4 Ca 3.28

#2
VASP calculation (PBE) on a relaxed structure of CaHoMgAg.

a b c (Å): 5.2927 5.2927 5.2927
angles (deg): 60.00 60.00 60.00
Last column: nearest neighbours and their distance in Å.
Sites, in units of the cell vectors:
Mg: 0.0000 0.0000 0.0000  4 Ca 3.24, 4 Ho 3.24
Ca: 0.2500 0.2500 0.2500  4 Mg 3.24, 4 Ag 3.24
Ho: 0.7500 0.7500 0.7500  4 Ag 3.24, 4 Mg 3.24
Ag: 0.5000 0.5000 0.5000  4 Ho 3.24, 4 Ca 3.24

Q: Which of them is the most stable? A: #1.

#1
VASP calculation (PBE) on a relaxed structure of CaHoAgRh.

a b c (Å): 4.9755 4.9755 4.9755
angles (deg): 60.00 60.00 60.00
Last column: nearest neighbours and their distance in Å.
Sites, in units of the cell vectors:
Ca: 0.2500 0.2500 0.2500  4 Rh 3.05, 4 Ag 3.05
Rh: 0.0000 0.0000 0.0000  4 Ho 3.05, 4 Ca 3.05
Ho: 0.7500 0.7500 0.7500  4 Rh 3.05, 4 Ag 3.05
Ag: 0.5000 0.5000 0.5000  4 Ca 3.05, 4 Ho 3.05

#2
VASP calculation (PBE) on a relaxed structure of CaHoAgRh.

a b c (Å): 3.4758 3.4758 7.4284
angles (deg): 90.00 90.00 90.00
Last column: nearest neighbours and their distance in Å.
Sites, in units of the cell vectors:
Ca: 0.5000 0.5000 0.8013  4 Rh 3.10, 4 Ag 3.25, 1 Ho 3.35, 4 Ca 3.48
Ho: 0.5000 0.5000 0.3505  4 Rh 2.85, 4 Ag 3.14
Ag: 0.0000 0.0000 0.0868  4 Ho 3.14, 4 Ca 3.25, 1 Rh 3.41, 4 Ag 3.48
Rh: 0.0000 0.0000 0.5460  4 Ho 2.85, 4 Ca 3.10

Q: Which of them is the most stable? A: #2.

#1
VASP calculation (PBE) on a relaxed structure of CaHoZnAg.

a b c (Å): 5.1265 5.1265 5.1265
angles (deg): 60.00 60.00 60.00
Last column: nearest neighbours and their distance in Å.
Sites, in units of the cell vectors:
Zn: 0.7500 0.7500 0.7500  4 Ca 3.14, 4 Ho 3.14
Ca: 0.5000 0.5000 0.5000  4 Zn 3.14, 4 Ag 3.14
Ho: 0.0000 0.0000 0.0000  4 Zn 3.14, 4 Ag 3.14
Ag: 0.2500 0.2500 0.2500  4 Ho 3.14, 4 Ca 3.14

#2
VASP calculation (PBE) on a relaxed structure of CaHoZnAg.

a b c (Å): 3.6437 3.6437 7.2509
angles (deg): 90.00 90.00 90.00
Last column: nearest neighbours and their distance in Å.
Sites, in units of the cell vectors:
Ca: 0.5000 0.5000 0.1126  4 Zn 3.22, 4 Ag 3.26, 1 Ho 3.54
Ho: 0.5000 0.5000 0.6004  4 Zn 3.04, 4 Ag 3.09
Zn: 0.0000 0.0000 0.3782  4 Ho 3.04, 4 Ca 3.22, 1 Ag 3.32
Ag: 0.0000 0.0000 0.8367  4 Ho 3.09, 4 Ca 3.26, 1 Zn 3.32

Q: Which of them is the most stable? A: #2.

#1
VASP calculation (PBE) on a relaxed structure of CaAg3I.

a b c (Å): 5.5101 5.5101 5.5101
angles (deg): 90.00 90.00 90.00
Last column: nearest neighbours and their distance in Å.
Sites, in units of the cell vectors:
I: 0.0000 0.0000 0.0000  6 Ag 2.76
Ca: 0.5000 0.5000 0.5000  12 Ag 3.90
Ag: 0.0000 0.5000 0.0000  2 I 2.76
Ag: 0.0000 0.0000 0.5000  2 I 2.76
Ag: 0.5000 0.0000 0.0000  2 I 2.76

#2
VASP calculation (PBE) on a relaxed structure of CaAg3I.

a b c (Å): 5.5991 5.5991 5.5991
angles (deg): 90.00 90.00 90.00
Last column: nearest neighbours and their distance in Å.
Sites, in units of the cell vectors:
I: 0.5000 0.5000 0.5000  12 Ag 3.96
Ca: 0.0000 0.0000 0.0000  6 Ag 2.80
Ag: 0.0000 0.5000 0.0000  2 Ca 2.80
Ag: 0.0000 0.0000 0.5000  2 Ca 2.80
Ag: 0.5000 0.0000 0.0000  2 Ca 2.80

Q: Which of them is the most stable? A: #1.